Entry 1:
KCaTl2 | PBE | relaxed

Geometry as POSCAR:
```
KCaTl2
1.0
-3.651 -1.103 1.347
1.625 -3.282 1.718
1.427 4.777 7.778
Ca K Tl
1 1 2
Direct
0.000 0.000 0.422 Ca
0.500 0.500 0.790 K
0.000 0.000 0.045 Tl
0.500 0.500 0.242 Tl
```

Properties
DFT total energy = -8.3 eV per cell
Density of states at the Fermi level = 1.578 states/eV/cell



Entry 2:
K2CaTl | PBE | relaxed

Geometry as POSCAR:
```
K2CaTl
1.0
10.700 0.000 0.000
0.000 10.700 0.000
5.350 5.350 3.363
K Tl Ca
4 2 2
Direct
0.683 0.125 0.250 K
0.067 0.625 0.250 K
0.375 0.317 0.750 K
0.875 0.933 0.750 K
0.000 0.000 0.000 Tl
0.750 0.250 0.500 Tl
0.500 0.500 0.000 Ca
0.250 0.750 0.500 Ca
```

Properties
Density of states at the Fermi level = 11.914 states/eV/cell
Energy above the most stable polymorph in this dataset = 216 meV/atom



Entry 3:
KCa2Tl6 | PBE | relaxed

Geometry as POSCAR:
```
KCa2Tl6
1.0
-1.347 3.624 0.689
-9.154 -1.556 1.478
-3.569 -0.845 8.657
K Ca Tl
1 2 6
Direct
0.500 0.500 0.500 K
0.360 0.140 0.140 Ca
0.640 0.860 0.860 Ca
0.179 0.499 0.142 Tl
0.821 0.501 0.858 Tl
0.821 0.858 0.501 Tl
0.000 0.174 0.826 Tl
0.000 0.826 0.174 Tl
0.179 0.142 0.499 Tl
```

Properties
DFT total energy = -21.0 eV per cell
Density of states at the Fermi level = 3.031 states/eV/cell



Entry 4:
K2CaTl | PBE | relaxed

Geometry as POSCAR:
```
K2CaTl
1.0
-0.223 -3.826 -0.889
1.225 -0.174 3.735
-11.579 -0.205 3.788
Ca K Tl
1 2 1
Direct
0.500 0.500 0.750 Ca
0.000 0.000 0.033 K
0.000 0.000 0.467 K
0.500 0.500 0.250 Tl
```

Properties
Density of states at the Fermi level = 3.701 states/eV/cell
Energy above the most stable polymorph in this dataset = 194 meV/atom



Entry 5:
K2CaTl | PBE | relaxed

Geometry as POSCAR:
```
K2CaTl
1.0
6.737 0.000 0.000
0.000 4.090 -0.002
0.000 0.667 6.202
Ca K Tl
1 2 1
Direct
0.500 0.750 0.750 Ca
0.000 0.029 0.016 K
0.000 0.471 0.484 K
0.500 0.250 0.250 Tl
```

Properties
Density of states at the Fermi level = 3.289 states/eV/cell
Energy above the most stable polymorph in this dataset = 155 meV/atom



Entry 6:
KCa2Tl | PBE | relaxed

Geometry as POSCAR:
```
KCa2Tl
1.0
7.555 0.026 0.003
4.118 6.334 -0.003
-5.186 -4.373 3.325
Ca K Tl
2 1 1
Direct
0.950 0.950 0.000 Ca
0.245 0.745 0.500 Ca
0.543 0.543 0.000 K
0.763 0.263 0.500 Tl
```

Properties
DFT total energy = -7.6 eV per cell
Density of states at the Fermi level = 2.779 states/eV/cell



Entry 7:
K2CaTl | PBE | relaxed

Geometry as POSCAR:
```
K2CaTl
1.0
6.567 0.000 0.000
0.000 5.077 0.000
0.000 0.000 5.077
Ca K Tl
1 2 1
Direct
0.500 0.000 0.500 Ca
0.000 0.000 0.000 K
0.000 0.500 0.500 K
0.500 0.500 0.000 Tl
```

Properties
Density of states at the Fermi level = 3.876 states/eV/cell
Energy above the most stable polymorph in this dataset = 141 meV/atom



Entry 8:
K2CaTl | PBE | relaxed

Geometry as POSCAR:
```
K2CaTl
1.0
-2.738 1.360 2.549
0.131 -3.450 1.982
8.500 4.262 6.854
Ca K Tl
1 2 1
Direct
0.500 0.500 0.750 Ca
0.000 0.000 0.040 K
0.000 0.000 0.460 K
0.500 0.500 0.250 Tl
```

Properties
Density of states at the Fermi level = 4.357 states/eV/cell
Energy above the most stable polymorph in this dataset = 193 meV/atom



Entry 9:
KCaTl2 | PBE | relaxed

Geometry as POSCAR:
```
KCaTl2
1.0
4.060 0.000 0.000
0.000 3.864 0.006
0.000 3.855 8.587
K Tl Ca
1 2 1
Direct
0.500 0.750 0.750 K
0.000 0.964 0.036 Tl
0.000 0.536 0.464 Tl
0.500 0.250 0.250 Ca
```

Properties
DFT total energy = -8.7 eV per cell
Density of states at the Fermi level = 2.558 states/eV/cell



Entry 10:
KCaTl2 | PBE | relaxed

Geometry as POSCAR:
```
KCaTl2
1.0
-1.920 -11.211 2.142
1.563 -11.463 0.324
1.407 -10.699 4.183
Ca K Tl
1 1 2
Direct
0.516 0.516 0.516 Ca
0.742 0.742 0.742 K
0.990 0.990 0.990 Tl
0.253 0.253 0.253 Tl
```

Properties
DFT total energy = -8.0 eV per cell
Density of states at the Fermi level = 2.768 states/eV/cell



Entry 11:
KCa2Tl10 | PBE | relaxed

Geometry as POSCAR:
```
KCa2Tl10
1.0
-4.168 0.546 -5.605
-8.174 -2.354 1.469
-3.806 7.489 -0.819
K Ca Tl
1 2 10
Direct
0.000 0.000 0.000 K
0.000 0.500 0.000 Ca
0.500 0.500 0.000 Ca
0.354 0.647 0.646 Tl
0.646 0.353 0.354 Tl
0.001 0.353 0.646 Tl
0.999 0.647 0.354 Tl
0.000 0.000 0.500 Tl
0.500 0.000 0.500 Tl
0.279 0.217 0.224 Tl
0.721 0.783 0.776 Tl
0.497 0.783 0.224 Tl
0.503 0.217 0.776 Tl
```

Properties
DFT total energy = -29.8 eV per cell
Density of states at the Fermi level = 8.310 states/eV/cell



Entry 12:
K2CaTl | PBE | relaxed

Geometry as POSCAR:
```
K2CaTl
1.0
7.738 0.006 0.004
3.655 6.821 -0.004
-4.808 -4.896 3.577
Ca K Tl
1 2 1
Direct
0.699 0.199 0.500 Ca
0.995 0.995 0.000 K
0.291 0.791 0.500 K
0.516 0.516 0.000 Tl
```

Properties
Density of states at the Fermi level = 4.241 states/eV/cell
Energy above the most stable polymorph in this dataset = 107 meV/atom